Compound: TmPaAgAu
Source: Alexandria
Functional: GGA-PBE
Structure: optimized geometry

a b c (Å): 5.091 5.091 5.091
angles (deg): 60.00 60.00 60.00
Fractional positions:
Tm 0.250 0.250 0.250
Pa 0.750 0.750 0.750
Au 0.000 0.000 0.000
Ag 0.500 0.500 0.500

space group: F-43m, No. 216
volume: 23.3 Å³/atom
magnetic moment: 0.56 Bohr magnetons per cell

=====

Compound: PaZnAgAu
Source: Alexandria
Functional: GGA-PBE
Structure: optimized geometry

a b c (Å): 4.873 4.873 4.873
angles (deg): 60.00 60.00 60.00
Fractional positions:
Zn 0.500 0.500 0.500
Pa 0.000 0.000 0.000
Au 0.750 0.750 0.750
Ag 0.250 0.250 0.250

space group: F-43m, No. 216
volume: 20.5 Å³/atom
magnetic moment: 0.00 Bohr magnetons per cell

=====

Compound: Ag8PbAu5
Source: Alexandria
Functional: GGA-PBE
Structure: optimized geometry

a b c (Å): 7.140 7.140 7.140
angles (deg): 111.74 105.03 111.74
Fractional positions:
Ag 0.137 0.743 0.079
Ag 0.921 0.058 0.664
Ag 0.731 0.263 0.327
Ag 0.673 0.404 0.936
Ag 0.532 0.596 0.269
Ag 0.606 0.942 0.863
Ag 0.336 0.257 0.394
Ag 0.064 0.737 0.468
Pb 0.250 0.500 0.750
Au 0.054 0.349 0.137
Au 0.863 0.917 0.212
Au 0.788 0.651 0.705
Au 0.500 0.000 0.500
Au 0.295 0.083 0.946

space group: I-4, No. 82
volume: 19.9 Å³/atom
magnetic moment: 0.00 Bohr magnetons per cell

=====

Compound: AgPb2Au
Source: Alexandria
Functional: GGA-PBE
Structure: optimized geometry

a b c (Å): 4.626 3.805 5.932
angles (deg): 70.58 90.00 90.00
Fractional positions:
Pb 0.000 0.971 0.925
Pb 0.500 0.280 0.326
Au 0.500 0.542 0.781
Ag 0.000 0.708 0.468

space group: Pm, No. 6
volume: 24.6 Å³/atom
magnetic moment: 0.00 Bohr magnetons per cell
energy relative to the lowest polymorph listed for this composition: 0.001 eV/atom

=====

Compound: AgPb2Au
Source: Alexandria
Functional: GGA-PBE
Structure: optimized geometry

a b c (Å): 6.178 6.178 6.178
angles (deg): 146.92 129.90 61.36
Fractional positions:
Pb 0.021 0.021 0.000
Pb 0.735 0.235 0.500
Au 0.266 0.766 0.500
Ag 0.478 0.478 0.000

space group: Imm2, No. 44
volume: 24.4 Å³/atom
magnetic moment: 0.00 Bohr magnetons per cell
energy relative to the lowest polymorph listed for this composition: 0.065 eV/atom

=====

Compound: AgPbAu
Source: Alexandria
Functional: GGA-PBE
Structure: optimized geometry

a b c (Å): 4.206 4.206 7.706
angles (deg): 90.00 90.00 90.00
Fractional positions:
Ag 0.250 0.750 0.000
Ag 0.750 0.250 0.000
Pb 0.750 0.750 0.345
Pb 0.250 0.250 0.655
Au 0.250 0.250 0.260
Au 0.750 0.750 0.740

space group: P4/nmm, No. 129
volume: 22.7 Å³/atom
magnetic moment: 0.00 Bohr magnetons per cell
energy relative to the lowest polymorph listed for this composition: 0.000 eV/atom

=====

Compound: AgPb2Au
Source: Alexandria
Functional: GGA-PBE
Structure: optimized geometry

a b c (Å): 4.633 5.931 7.575
angles (deg): 109.20 90.00 90.00
Fractional positions:
Ag 0.250 0.344 0.207
Ag 0.750 0.656 0.793
Pb 0.750 0.202 0.425
Pb 0.250 0.798 0.575
Pb 0.250 0.801 0.080
Pb 0.750 0.199 0.920
Au 0.750 0.657 0.289
Au 0.250 0.343 0.711

space group: P2_1/m, No. 11
volume: 24.6 Å³/atom
magnetic moment: 0.00 Bohr magnetons per cell
energy relative to the lowest polymorph listed for this composition: 0.000 eV/atom

=====

Compound: Ag4PbAu7
Source: Alexandria
Functional: GGA-PBE
Structure: optimized geometry

a b c (Å): 5.288 9.211 5.932
angles (deg): 84.30 63.53 73.32
Fractional positions:
Ag 0.587 0.230 0.597
Ag 0.413 0.770 0.403
Ag 0.729 0.684 0.858
Ag 0.271 0.316 0.142
Pb 0.000 0.000 0.000
Au 0.793 0.912 0.502
Au 0.207 0.088 0.498
Au 0.043 0.619 0.295
Au 0.957 0.381 0.705
Au 0.346 0.541 0.768
Au 0.500 0.000 0.000
Au 0.654 0.459 0.232

space group: C2/m, No. 12
volume: 20.6 Å³/atom
magnetic moment: 0.00 Bohr magnetons per cell

=====

Compound: AgPb2Au
Source: Alexandria
Functional: GGA-PBE
Structure: optimized geometry

a b c (Å): 4.614 4.614 5.682
angles (deg): 90.00 90.00 60.12
Fractional positions:
Ag 0.625 0.625 0.500
Pb 0.959 0.959 0.758
Pb 0.291 0.291 0.242
Au 0.625 0.625 0.000

space group: C2/m, No. 12
volume: 26.2 Å³/atom
magnetic moment: 0.00 Bohr magnetons per cell
energy relative to the lowest polymorph listed for this composition: 0.012 eV/atom

=====

Compound: Ag7PbAu5
Source: Alexandria
Functional: GGA-PBE
Structure: optimized geometry

a b c (Å): 5.507 7.349 7.349
angles (deg): 82.35 68.91 68.91
Fractional positions:
Ag 0.659 0.352 0.352
Ag 0.354 0.646 0.646
Ag 0.004 0.353 0.649
Ag 0.004 0.649 0.353
Ag 0.275 0.222 0.222
Ag 0.492 0.787 0.213
Ag 0.492 0.213 0.787
Pb 0.969 0.998 0.998
Au 0.513 0.000 0.492
Au 0.005 0.001 0.507
Au 0.513 0.492 0.000
Au 0.005 0.507 0.001
Au 0.714 0.781 0.781

space group: Cm, No. 8
volume: 19.9 Å³/atom
magnetic moment: 0.00 Bohr magnetons per cell

=====

Compound: AgPbAu4
Source: Alexandria
Functional: GGA-PBE
Structure: optimized geometry

a b c (Å): 4.854 4.854 5.964
angles (deg): 90.00 90.00 120.00
Fractional positions:
Ag 0.000 0.000 0.000
Pb 0.000 0.000 0.500
Au 0.333 0.667 0.238
Au 0.333 0.667 0.762
Au 0.667 0.333 0.238
Au 0.667 0.333 0.762

space group: P6/mmm, No. 191
volume: 20.3 Å³/atom
magnetic moment: 0.00 Bohr magnetons per cell
energy relative to the lowest polymorph listed for this composition: 0.004 eV/atom

=====

Compound: AgPb2Au2
Source: Alexandria
Functional: GGA-PBE
Structure: optimized geometry

a b c (Å): 4.618 4.618 7.939
angles (deg): 73.09 73.09 60.00
Fractional positions:
Ag 0.000 0.000 0.000
Pb 0.428 0.428 0.716
Pb 0.572 0.572 0.284
Au 0.714 0.714 0.857
Au 0.286 0.286 0.143

space group: R-3m, No. 166
volume: 27.6 Å³/atom
magnetic moment: 0.00 Bohr magnetons per cell
energy relative to the lowest polymorph listed for this composition: 0.031 eV/atom

=====

Compound: Ag2PbAu
Source: Alexandria
Functional: GGA-PBE
Structure: optimized geometry

a b c (Å): 9.528 9.528 9.528
angles (deg): 19.63 19.63 19.63
Fractional positions:
Pb 0.750 0.750 0.750
Au 0.250 0.250 0.250
Ag 0.993 0.993 0.993
Ag 0.507 0.507 0.507

space group: R-3m, No. 166
volume: 21.3 Å³/atom
magnetic moment: 0.00 Bohr magnetons per cell

=====

Compound: AgPb2Au2
Source: Alexandria
Functional: GGA-PBE
Structure: optimized geometry

a b c (Å): 8.096 8.096 3.778
angles (deg): 90.00 90.00 90.00
Fractional positions:
Pb 0.330 0.830 0.000
Pb 0.830 0.670 0.000
Pb 0.670 0.170 0.000
Pb 0.170 0.330 0.000
Au 0.131 0.631 0.500
Au 0.631 0.869 0.500
Au 0.869 0.369 0.500
Au 0.369 0.131 0.500
Ag 0.000 0.000 0.000
Ag 0.500 0.500 0.000

space group: P4/mbm, No. 127
volume: 24.8 Å³/atom
magnetic moment: 0.00 Bohr magnetons per cell
energy relative to the lowest polymorph listed for this composition: 0.130 eV/atom

=====

Compound: AgPbAu
Source: Alexandria
Functional: GGA-PBE
Structure: optimized geometry

a b c (Å): 4.737 4.737 4.737
angles (deg): 60.00 60.00 60.00
Fractional positions:
Pb 0.000 0.000 0.000
Au 0.750 0.750 0.750
Ag 0.500 0.500 0.500

space group: F-43m, No. 216
volume: 25.1 Å³/atom
magnetic moment: 0.00 Bohr magnetons per cell
energy relative to the lowest polymorph listed for this composition: 0.064 eV/atom

=====

Compound: AgPb2Au
Source: Alexandria
Functional: GGA-PBE
Structure: optimized geometry

a b c (Å): 9.008 9.008 9.008
angles (deg): 23.32 23.32 23.32
Fractional positions:
Pb 0.002 0.002 0.002
Pb 0.498 0.498 0.498
Au 0.750 0.750 0.750
Ag 0.250 0.250 0.250

space group: R-3m, No. 166
volume: 25.1 Å³/atom
magnetic moment: 0.00 Bohr magnetons per cell
energy relative to the lowest polymorph listed for this composition: 0.101 eV/atom

=====

Compound: Ag2PbAu
Source: Alexandria
Functional: GGA-PBE
Structure: optimized geometry

a b c (Å): 3.556 3.556 6.639
angles (deg): 90.00 90.00 90.00
Fractional positions:
Pb 0.500 0.500 0.750
Au 0.500 0.500 0.250
Ag 0.000 0.000 0.031
Ag 0.000 0.000 0.469

space group: P4/mmm, No. 123
volume: 21.0 Å³/atom
magnetic moment: 0.00 Bohr magnetons per cell

=====

Compound: AgPb2Au
Source: Alexandria
Functional: GGA-PBE
Structure: optimized geometry

a b c (Å): 4.839 4.839 6.221
angles (deg): 76.77 76.77 45.63
Fractional positions:
Pb 0.003 0.003 0.995
Pb 0.497 0.497 0.505
Au 0.750 0.750 0.750
Ag 0.250 0.250 0.250

space group: C2/m, No. 12
volume: 25.2 Å³/atom
magnetic moment: 0.00 Bohr magnetons per cell
energy relative to the lowest polymorph listed for this composition: 0.094 eV/atom

=====

Compound: AgPb2Au
Source: Alexandria
Functional: GGA-PBE
Structure: optimized geometry

a b c (Å): 3.419 3.600 7.982
angles (deg): 90.00 90.00 90.00
Fractional positions:
Pb 0.000 0.000 0.952
Pb 0.500 0.500 0.294
Au 0.500 0.500 0.718
Ag 0.000 0.000 0.535

space group: Pmm2, No. 25
volume: 24.6 Å³/atom
magnetic moment: 0.00 Bohr magnetons per cell
energy relative to the lowest polymorph listed for this composition: 0.033 eV/atom

=====

Compound: Ag2PbAu
Source: Alexandria
Functional: GGA-PBE
Structure: optimized geometry

a b c (Å): 7.937 7.937 6.310
angles (deg): 51.03 51.03 90.00
Fractional positions:
Pb 0.000 0.000 0.000
Pb 0.750 0.250 0.500
Au 0.500 0.500 0.000
Au 0.250 0.750 0.500
Ag 0.605 0.125 0.250
Ag 0.145 0.625 0.250
Ag 0.375 0.395 0.750
Ag 0.875 0.855 0.750

space group: I-42d, No. 122
volume: 22.7 Å³/atom
magnetic moment: 0.00 Bohr magnetons per cell

=====

How do the records compare in energy of formation from the pure elements? In the order shown, they have -183 -101 82 -21 43 -42 -22 106 -10 18 19 23 104 122 22 79 37 72 11 172 meV per atom.